Run one
# KTcTe2I

A relaxed KTcTe2I crystal (PBE, Alexandria via LeMat-Bulk).

Properties
The volume is 44.10 Å³/atom. As for the space-group type: P4/mmm, No. 123. The value obtained for the density of states at the Fermi level is 8.05 states/eV per cell. Its crystal system is tetragonal.

Unit cell a=6.020 b=6.020 c=6.084 alpha=90.00 beta=90.00 gamma=90.00
Positions (direct):
K  0.000  0.000  0.000
Tc  0.500  0.500  0.500
Te  0.000  0.500  0.000
Te  0.500  0.000  0.000
I  0.000  0.000  0.500

=====

Run two
# KTcTe2I

A relaxed KTcTe2I crystal (PBE, Alexandria via LeMat-Bulk).

Properties
The volume is 33.48 Å³/atom. As for the space-group type: P4/mmm, No. 123. The value obtained for the density of states at the Fermi level is 4.44 states/eV per cell. Its crystal system is tetragonal.

Unit cell a=5.211 b=5.211 c=6.165 alpha=90.00 beta=90.00 gamma=90.00
Positions (direct):
K  0.000  0.000  0.000
Tc  0.500  0.500  0.500
Te  0.000  0.500  0.500
Te  0.500  0.000  0.500
I  0.500  0.500  0.000

=====

Most stable structure: run two

=====

Run one
# K2TeI

A relaxed K2TeI crystal (PBE, Alexandria via LeMat-Bulk).

Properties
The volume is 39.60 Å³/atom. As for the space-group type: Fm-3m, No. 225. The value obtained for the density of states at the Fermi level is 20.13 states/eV per cell. Its crystal system is cubic.

Unit cell a=8.589 b=8.589 c=8.589 alpha=90.00 beta=90.00 gamma=90.00
Positions (direct):
K  0.250  0.250  0.250
K  0.250  0.250  0.750
K  0.250  0.750  0.250
K  0.250  0.750  0.750
K  0.750  0.250  0.250
K  0.750  0.250  0.750
K  0.750  0.750  0.250
K  0.750  0.750  0.750
Te  0.000  0.000  0.000
Te  0.000  0.500  0.500
Te  0.500  0.000  0.500
Te  0.500  0.500  0.000
I  0.000  0.000  0.500
I  0.000  0.500  0.000
I  0.500  0.000  0.000
I  0.500  0.500  0.500

=====

Run two
# K2TeI

A relaxed K2TeI crystal (PBE, Alexandria via LeMat-Bulk).

Properties
The volume is 40.84 Å³/atom. As for the space-group type: I-42d, No. 122. The value obtained for the density of states at the Fermi level is 5.83 states/eV per cell. Its crystal system is tetragonal.

Unit cell a=9.471 b=9.471 c=7.286 alpha=90.00 beta=90.00 gamma=90.00
Positions (direct):
K  0.247  0.750  0.125
K  0.250  0.247  0.875
K  0.250  0.253  0.375
K  0.253  0.750  0.625
K  0.747  0.250  0.625
K  0.750  0.747  0.375
K  0.750  0.753  0.875
K  0.753  0.250  0.125
Te  0.000  0.000  0.000
Te  0.000  0.500  0.250
Te  0.500  0.000  0.750
Te  0.500  0.500  0.500
I  0.000  0.000  0.500
I  0.000  0.500  0.750
I  0.500  0.000  0.250
I  0.500  0.500  0.000

=====

Run three
# K2TeI

A relaxed K2TeI crystal (PBE, Alexandria via LeMat-Bulk).

Properties
The volume is 38.09 Å³/atom. As for the space-group type: P4/mmm, No. 123. The value obtained for the density of states at the Fermi level is 1.84 states/eV per cell. Its crystal system is tetragonal.

Unit cell a=4.059 b=4.059 c=9.249 alpha=90.00 beta=90.00 gamma=90.00
Positions (direct):
K  0.000  0.000  0.238
K  0.000  0.000  0.762
Te  0.500  0.500  0.500
I  0.500  0.500  0.000

=====

Most stable structure: run three

=====

Run one
# KTe2I2

A relaxed KTe2I2 crystal (PBE, Alexandria via LeMat-Bulk).

Properties
The volume is 42.43 Å³/atom. As for the space-group type: P4/mbm, No. 127. The value obtained for the density of states at the Fermi level is 11.36 states/eV per cell. Its crystal system is tetragonal.

Unit cell a=9.222 b=9.222 c=4.989 alpha=90.00 beta=90.00 gamma=90.00
Positions (direct):
K  0.000  0.000  0.000
K  0.500  0.500  0.000
Te  0.102  0.398  0.000
Te  0.398  0.898  0.000
Te  0.602  0.102  0.000
Te  0.898  0.602  0.000
I  0.227  0.727  0.500
I  0.273  0.227  0.500
I  0.727  0.773  0.500
I  0.773  0.273  0.500

=====

Run two
# KTe2I2

A relaxed KTe2I2 crystal (PBE, Alexandria via LeMat-Bulk).

Properties
The volume is 46.62 Å³/atom. As for the space-group type: I4/mmm, No. 139. The value obtained for the density of states at the Fermi level is 6.67 states/eV per cell. Its crystal system is tetragonal.

Unit cell a=6.656 b=6.656 c=10.521 alpha=90.00 beta=90.00 gamma=90.00
Positions (direct):
K  0.000  0.000  0.000
K  0.500  0.500  0.500
Te  0.000  0.000  0.378
Te  0.000  0.000  0.622
Te  0.500  0.500  0.122
Te  0.500  0.500  0.878
I  0.000  0.500  0.250
I  0.000  0.500  0.750
I  0.500  0.000  0.250
I  0.500  0.000  0.750

=====

Most stable structure: run two

=====

Run one
# K2Te2I

A relaxed K2Te2I crystal (PBE, Alexandria via LeMat-Bulk).

Properties
The volume is 41.85 Å³/atom. As for the space-group type: P4/mbm, No. 127. The value obtained for the density of states at the Fermi level is 6.18 states/eV per cell. Its crystal system is tetragonal.

Unit cell a=9.201 b=9.201 c=4.944 alpha=90.00 beta=90.00 gamma=90.00
Positions (direct):
K  0.187  0.313  0.000
K  0.313  0.813  0.000
K  0.687  0.187  0.000
K  0.813  0.687  0.000
Te  0.105  0.605  0.500
Te  0.395  0.105  0.500
Te  0.605  0.895  0.500
Te  0.895  0.395  0.500
I  0.000  0.000  0.500
I  0.500  0.500  0.500

=====

Run two
# K2Te2I

A relaxed K2Te2I crystal (PBE, Alexandria via LeMat-Bulk).

Properties
The volume is 39.18 Å³/atom. As for the space-group type: I4/mmm, No. 139. The value obtained for the density of states at the Fermi level is 0.72 states/eV per cell. Its crystal system is tetragonal.

Unit cell a=4.489 b=4.489 c=19.442 alpha=90.00 beta=90.00 gamma=90.00
Positions (direct):
K  0.000  0.000  0.103
K  0.000  0.000  0.897
K  0.500  0.500  0.397
K  0.500  0.500  0.603
Te  0.000  0.500  0.250
Te  0.000  0.500  0.750
Te  0.500  0.000  0.250
Te  0.500  0.000  0.750
I  0.000  0.000  0.500
I  0.500  0.500  0.000

=====

Most stable structure: run two

=====

Run one
# KTe2I

A relaxed KTe2I crystal (PBE, Alexandria via LeMat-Bulk).

Properties
The volume is 35.54 Å³/atom. As for the space-group type: Fm-3m, No. 225. The value obtained for the density of states at the Fermi level is 39.38 states/eV per cell. Its crystal system is cubic.

Unit cell a=8.285 b=8.285 c=8.285 alpha=90.00 beta=90.00 gamma=90.00
Positions (direct):
K  0.000  0.000  0.000
K  0.000  0.500  0.500
K  0.500  0.000  0.500
K  0.500  0.500  0.000
Te  0.250  0.250  0.250
Te  0.250  0.250  0.750
Te  0.250  0.750  0.250
Te  0.250  0.750  0.750
Te  0.750  0.250  0.250
Te  0.750  0.250  0.750
Te  0.750  0.750  0.250
Te  0.750  0.750  0.750
I  0.000  0.000  0.500
I  0.000  0.500  0.000
I  0.500  0.000  0.000
I  0.500  0.500  0.500

=====

Run two
# KTe2I

A relaxed KTe2I crystal (PBE, Alexandria via LeMat-Bulk).

Properties
The volume is 54.47 Å³/atom. As for the space-group type: I-42d, No. 122. The value obtained for the density of states at the Fermi level is 13.36 states/eV per cell. Its crystal system is tetragonal.

Unit cell a=7.074 b=7.074 c=17.415 alpha=90.00 beta=90.00 gamma=90.00
Positions (direct):
K  0.000  0.000  0.000
K  0.000  0.500  0.250
K  0.500  0.000  0.750
K  0.500  0.500  0.500
Te  0.156  0.250  0.625
Te  0.250  0.656  0.875
Te  0.250  0.844  0.375
Te  0.344  0.250  0.125
Te  0.656  0.750  0.125
Te  0.750  0.156  0.375
Te  0.750  0.344  0.875
Te  0.844  0.750  0.625
I  0.000  0.000  0.500
I  0.000  0.500  0.750
I  0.500  0.000  0.250
I  0.500  0.500  0.000

=====

Most stable structure: run two

=====

Run one
# KTeI2

A relaxed KTeI2 crystal (PBE, Alexandria via LeMat-Bulk).

Properties
The volume is 51.43 Å³/atom. As for the space-group type: I-42d, No. 122. The value obtained for the density of states at the Fermi level is 6.05 states/eV per cell. Its crystal system is tetragonal.

Unit cell a=6.400 b=6.400 c=20.090 alpha=90.00 beta=90.00 gamma=90.00
Positions (direct):
K  0.000  0.000  0.000
K  0.000  0.500  0.250
K  0.500  0.000  0.750
K  0.500  0.500  0.500
Te  0.000  0.000  0.500
Te  0.000  0.500  0.750
Te  0.500  0.000  0.250
Te  0.500  0.500  0.000
I  0.180  0.250  0.625
I  0.250  0.680  0.875
I  0.250  0.820  0.375
I  0.320  0.250  0.125
I  0.680  0.750  0.125
I  0.750  0.180  0.375
I  0.750  0.320  0.875
I  0.820  0.750  0.625

=====

Run two
# KTeI2

A relaxed KTeI2 crystal (PBE, Alexandria via LeMat-Bulk).

Properties
The volume is 39.89 Å³/atom. As for the space-group type: Fm-3m, No. 225. The value obtained for the density of states at the Fermi level is 18.87 states/eV per cell. Its crystal system is cubic.

Unit cell a=8.610 b=8.610 c=8.610 alpha=90.00 beta=90.00 gamma=90.00
Positions (direct):
K  0.000  0.000  0.000
K  0.000  0.500  0.500
K  0.500  0.000  0.500
K  0.500  0.500  0.000
Te  0.000  0.000  0.500
Te  0.000  0.500  0.000
Te  0.500  0.000  0.000
Te  0.500  0.500  0.500
I  0.250  0.250  0.250
I  0.250  0.250  0.750
I  0.250  0.750  0.250
I  0.250  0.750  0.750
I  0.750  0.250  0.250
I  0.750  0.250  0.750
I  0.750  0.750  0.250
I  0.750  0.750  0.750

=====

Most stable structure: run one